[1]
DFT (PBE) results for a relaxed La5Cd2Ge crystal.

Unit cell a=5.5178 b=6.8216 c=13.2254 alpha=90.00 beta=90.00 gamma=90.00
Atoms (fractional coordinates):
La1 0.5000 0.3630 0.0952
La2 0.5000 0.6370 0.9048
La3 0.5000 0.8630 0.4048
La4 0.5000 0.1370 0.5952
La5 0.0000 0.8416 0.7161
La6 0.0000 0.1584 0.2839
La7 0.0000 0.3416 0.7839
La8 0.0000 0.6584 0.2161
La9 0.0000 0.5000 0.5000
La10 0.0000 0.0000 0.0000
Cd1 0.5000 0.3945 0.3510
Cd2 0.5000 0.6055 0.6490
Cd3 0.5000 0.1055 0.8510
Cd4 0.5000 0.8945 0.1490
Ge1 0.0000 0.0000 0.5000
Ge2 0.0000 0.5000 0.0000

Summary:
formation energy from the elements	-35.30	kJ/mol of atoms
final energy	-4.251	eV per atom

***

[2]
DFT (PBE) results for a relaxed BaCdTe2 crystal.

Unit cell a=10.2687 b=10.2687 c=10.2687 alpha=24.79 beta=24.79 gamma=24.79
Last column: magnetic moment on the atom in μB.
Atoms (fractional coordinates):
Te1 0.8888 0.8888 0.8888  -0.07
Te2 0.1112 0.1112 0.1112  -0.07
Ba1 0.0000 0.0000 0.0000  0.09
Cd1 0.5000 0.5000 0.5000  0.00

Summary:
raw formation energy	-27.8	kJ per mole of atoms
final energy	-2.569	eV per atom

***

[3]
DFT (PBE) results for a relaxed Rb2TaBeF6 crystal.

Unit cell a=6.7150 b=6.7150 c=6.7533 alpha=60.19 beta=60.19 gamma=90.00
Last column: magnetic moment on the atom in μB.
Atoms (fractional coordinates):
Be1 0.5000 0.5000 0.0000  0.00
F1 0.2107 0.2107 0.5787  0.02
F2 0.7893 0.7893 0.4213  0.02
F3 0.2095 0.2095 0.0000  0.01
F4 0.7905 0.7905 0.0000  0.01
F5 0.7905 0.2095 0.0000  0.01
F6 0.2095 0.7905 0.0000  0.01
Rb1 0.7500 0.2500 0.5000  0.00
Rb2 0.2500 0.7500 0.5000  0.00
Ta1 0.0000 0.0000 0.0000  0.75

Summary:
raw formation energy	-218.0	kJ per mole of atoms
final energy	-5.133	eV per atom

***

[4]
DFT (PBE) results for a relaxed HfBe2NiRu crystal.

Unit cell a=4.1366 b=4.8852 c=4.1366 alpha=90.00 beta=90.00 gamma=90.00
Atoms (fractional coordinates):
Ru1 0.0000 0.0000 0.0000
Hf1 0.0000 0.5000 0.0000
Be1 0.0000 0.0000 0.5000
Be2 0.5000 0.0000 0.0000
Ni1 0.5000 0.5000 0.5000

Summary:
formation energy from the elements	61.10	kJ/mol of atoms
final energy	-5.859	eV per atom

***

[5]
DFT (PBE) results for a relaxed GeSb2Pb2 crystal.

Unit cell a=8.2649 b=8.2649 c=4.5145 alpha=90.00 beta=90.00 gamma=90.00
Atoms (fractional coordinates):
Pb1 0.3234 0.8234 0.0000
Pb2 0.8234 0.6766 0.0000
Pb3 0.6766 0.1766 0.0000
Pb4 0.1766 0.3234 0.0000
Sb1 0.1260 0.6260 0.5000
Sb2 0.6260 0.8740 0.5000
Sb3 0.8740 0.3740 0.5000
Sb4 0.3740 0.1260 0.5000
Ge1 0.0000 0.0000 0.0000
Ge2 0.5000 0.5000 0.0000

Summary:
polymorph energy (0 for the lowest one)	127.7	meV per atom
raw formation energy	32.1	kJ per mole of atoms
final energy	-3.724	eV per atom

***

[6]
DFT (PBE) results for a relaxed YB2As2 crystal.

Unit cell a=4.2100 b=4.2100 c=5.3772 alpha=66.95 beta=66.95 gamma=90.00
Atoms (fractional coordinates):
Y1 0.0000 0.0000 0.0000
As1 0.3243 0.3243 0.3514
As2 0.6757 0.6757 0.6486
B1 0.7500 0.2500 0.5000
B2 0.2500 0.7500 0.5000

Summary:
polymorph energy (0 for the lowest one)	0.0	meV per atom
formation energy from the elements	25.38	kJ/mol of atoms
final energy	-5.561	eV per atom

***

[7]
DFT (PBE) results for a relaxed CsLiC2 crystal.

Unit cell a=3.8868 b=3.8868 c=8.9786 alpha=77.50 beta=77.50 gamma=90.00
Atoms (fractional coordinates):
Cs1 0.0000 0.0000 0.0000
Cs2 0.7500 0.2500 0.5000
C1 0.3750 0.1250 0.2500
C2 0.3750 0.6250 0.2500
C3 0.3750 0.6250 0.7500
C4 0.8750 0.6250 0.7500
Li1 0.5000 0.5000 0.0000
Li2 0.2500 0.7500 0.5000

Summary:
polymorph energy (0 for the lowest one)	0.0	meV per atom
formation energy from the elements	182.41	kJ/mol of atoms
final energy	-3.413	eV per atom

***

[8]
DFT (PBE) results for a relaxed La5Dy4Th2 crystal.

Unit cell a=3.5369 b=9.0007 c=11.9061 alpha=86.05 beta=90.00 gamma=90.00
Atoms (fractional coordinates):
La1 0.0000 0.4184 0.2895
La2 0.0000 0.8071 0.1698
La3 0.0000 0.5000 0.0000
La4 0.0000 0.1929 0.8302
La5 0.0000 0.5816 0.7105
Dy1 0.5000 0.2969 0.5490
Dy2 0.5000 0.8437 0.8959
Dy3 0.5000 0.7031 0.4510
Dy4 0.5000 0.1563 0.1041
Th1 0.0000 0.9517 0.6330
Th2 0.0000 0.0483 0.3670

Summary:
formation energy from the elements	10.51	kJ/mol of atoms
final energy	-5.153	eV per atom

***

[9]
DFT (PBE) results for a relaxed YInSe3 crystal.

Unit cell a=4.5818 b=4.5818 c=16.8209 alpha=90.00 beta=90.00 gamma=120.00
Atoms (fractional coordinates):
Y1 0.3333 0.6667 0.7500
Y2 0.6667 0.3333 0.2500
Se1 0.0000 0.0000 0.2500
Se2 0.0000 0.0000 0.7500
Se3 0.3333 0.6667 0.9226
Se4 0.3333 0.6667 0.5774
Se5 0.6667 0.3333 0.4226
Se6 0.6667 0.3333 0.0774
In1 0.0000 0.0000 0.0000
In2 0.0000 0.0000 0.5000

Summary:
polymorph energy (0 for the lowest one)	220.4	meV per atom
raw formation energy	-93.8	kJ per mole of atoms
final energy	-4.904	eV per atom

***

[10]
DFT (PBE) results for a relaxed CrIr2Br crystal.

Unit cell a=4.7064 b=4.7064 c=2.9240 alpha=90.00 beta=90.00 gamma=105.10
Last column: magnetic moment on the atom in μB.
Atoms (fractional coordinates):
Br1 0.5000 0.0000 0.5000  0.02
Cr1 0.0000 0.5000 0.5000  2.95
Ir1 0.0000 0.0000 0.0000  -0.09
Ir2 0.5000 0.5000 0.0000  -0.09

Summary:
polymorph energy (0 for the lowest one)	451.5	meV per atom
raw formation energy	83.0	kJ per mole of atoms
final energy	-6.394	eV per atom

***

[11]
DFT (PBE) results for a relaxed Rb2GaI6F crystal.

Unit cell a=7.5913 b=7.5913 c=8.6461 alpha=63.96 beta=63.96 gamma=90.00
Atoms (fractional coordinates):
I1 0.2194 0.2194 0.5611
I2 0.7806 0.7806 0.4389
I3 0.2552 0.2552 0.0000
I4 0.7448 0.7448 0.0000
I5 0.7448 0.2552 0.0000
I6 0.2552 0.7448 0.0000
Ga1 0.0000 0.0000 0.0000
Rb1 0.7500 0.2500 0.5000
Rb2 0.2500 0.7500 0.5000
F1 0.5000 0.5000 0.0000

Summary:
raw formation energy	-74.8	kJ per mole of atoms
final energy	-2.389	eV per atom

***

[12]
DFT (PBE) results for a relaxed NdErNi3 crystal.

Unit cell a=4.0014 b=3.9214 c=12.2270 alpha=99.23 beta=90.00 gamma=90.00
Atoms (fractional coordinates):
Nd1 0.2500 0.0727 0.1453
Nd2 0.7500 0.9273 0.8547
Er1 0.2500 0.7952 0.5904
Er2 0.7500 0.2048 0.4096
Ni1 0.2500 0.3770 0.7540
Ni2 0.7500 0.6230 0.2460
Ni3 0.2500 0.4745 0.9490
Ni4 0.7500 0.5255 0.0510
Ni5 0.7500 0.3229 0.6457
Ni6 0.2500 0.6771 0.3543

Summary:
formation energy from the elements	-37.39	kJ/mol of atoms
final energy	-5.722	eV per atom